Below is a relaxed PmNdBN3 crystal, with properties calculated at the PBE-GGA level.

Unit cell a=5.6642 b=5.6642 c=6.3302 alpha=90.00 beta=90.00 gamma=120.00
Last column: nearest neighbours and their distance in Å.
Positions (direct):
N 0.3697 0.1849 0.7500  1 B 1.46
N 0.8151 0.6303 0.7500  1 B 1.46
N 0.8151 0.1849 0.7500  1 B 1.46
N 0.6303 0.8151 0.2500  1 B 1.46
N 0.1849 0.8151 0.2500  1 B 1.46
N 0.1849 0.3697 0.2500  1 B 1.46
Pm 0.0000 0.0000 0.5000  6 N 2.41
Pm 0.0000 0.0000 0.0000  6 N 2.41
B 0.3333 0.6667 0.2500  3 N 1.46
B 0.6667 0.3333 0.7500  3 N 1.46
Nd 0.3333 0.6667 0.7500  6 N 2.84, 2 B 3.17
Nd 0.6667 0.3333 0.2500  6 N 2.84, 2 B 3.17

The formation energy from raw total energies is -1.051 eV/atom. As for the space group: P6_3/mmc, No. 194. As for the crystal system: hexagonal.